# 1
VCu2Rh2 (PBE, optimized geometry); total magnetic moment = 0.22 μB per formula unit; calculated formation energy = 0.172 eV per atom; final energy = -31.15 eV/f.u.; excess energy over the best structure of this formula in the dataset = 312 meV/atom; ρ = 9.13 g/cm³
1.0
-1.262 -5.697 -3.393
6.629 -1.186 -0.474
-0.089 -1.553 2.640
Rh Cu V
4 4 2
Direct
0.356 0.856 0.000
0.856 0.644 0.000
0.644 0.144 0.000
0.144 0.356 0.000
0.154 0.654 0.500
0.654 0.846 0.500
0.846 0.346 0.500
0.346 0.154 0.500
0.000 0.000 0.000
0.500 0.500 0.000

# 2
V2Cu2Rh (PBE, optimized geometry); total magnetic moment = 1.26 μB per formula unit; calculated formation energy = 0.137 eV per atom; final energy = -33.10 eV/f.u.; ρ = 8.34 g/cm³
1.0
-1.086 -5.417 3.782
6.393 -1.830 -0.785
0.734 1.533 2.407
Rh Cu V
2 4 4
Direct
0.000 0.000 0.000
0.500 0.500 0.000
0.374 0.874 0.000
0.874 0.626 0.000
0.626 0.126 0.000
0.126 0.374 0.000
0.173 0.673 0.500
0.673 0.827 0.500
0.827 0.327 0.500
0.327 0.173 0.500

# 3
VCuRh (PBE, optimized geometry); total magnetic moment = 0.82 μB per formula unit; calculated formation energy = -0.163 eV per atom; final energy = -21.06 eV/f.u.; excess energy over the best structure of this formula in the dataset = 0 meV/atom; ρ = 9.01 g/cm³
1.0
3.122 0.000 0.000
0.000 3.122 0.000
-1.561 -1.561 4.110
Rh Cu V
1 1 1
Direct
0.944 0.944 0.888
0.620 0.620 0.240
0.286 0.286 0.572

# 4
V2CuRh6 (PBE, optimized geometry); total magnetic moment = 0.00 μB per formula unit; calculated formation energy = -0.066 eV per atom; final energy = -67.03 eV/f.u.; ρ = 10.13 g/cm³
1.0
-1.227 -1.576 1.816
11.279 -5.556 2.803
-4.424 6.104 0.301
V Cu Rh
2 1 6
Direct
0.181 0.181 0.362
0.819 0.819 0.638
0.000 0.500 0.000
0.322 0.487 0.643
0.678 0.513 0.357
0.678 0.844 0.357
0.500 0.141 0.000
0.500 0.859 0.000
0.322 0.156 0.643

# 5
V2CuRh3 (PBE, optimized geometry); total magnetic moment = 1.93 μB per formula unit; calculated formation energy = -0.281 eV per atom; final energy = -46.07 eV/f.u.; excess energy over the best structure of this formula in the dataset = 0 meV/atom; ρ = 9.64 g/cm³
1.0
3.532 0.000 0.000
0.000 3.748 -1.267
0.000 -0.001 6.173
V Cu Rh
2 1 3
Direct
0.000 0.666 0.331
0.000 0.334 0.669
0.000 0.000 0.000
0.500 0.168 0.337
0.500 0.500 0.000
0.500 0.832 0.663

# 6
VCu2Rh2 (PBE, optimized geometry); total magnetic moment = 0.00 μB per formula unit; calculated formation energy = -0.140 eV per atom; final energy = -32.72 eV/f.u.; excess energy over the best structure of this formula in the dataset = 0 meV/atom; ρ = 9.64 g/cm³
1.0
-3.906 -2.633 0.368
1.908 0.759 -4.649
3.525 -4.764 3.338
V Cu Rh
2 4 4
Direct
0.644 0.000 0.750
0.356 0.000 0.250
0.759 0.800 0.054
0.959 0.200 0.446
0.241 0.200 0.946
0.041 0.800 0.554
0.542 0.372 0.644
0.170 0.628 0.856
0.458 0.628 0.356
0.830 0.372 0.144

# 7
V2CuRh (PBE, optimized geometry); total magnetic moment = 0.00 μB per formula unit; calculated formation energy = 0.329 eV per atom; final energy = -28.37 eV/f.u.; ρ = 7.69 g/cm³
1.0
6.776 0.000 0.000
0.000 6.776 0.000
3.388 3.388 2.522
Rh Cu V
2 2 4
Direct
0.000 0.000 0.000
0.750 0.250 0.500
0.500 0.500 0.000
0.250 0.750 0.500
0.641 0.125 0.250
0.109 0.625 0.250
0.375 0.359 0.750
0.875 0.891 0.750

# 8
VCu3Rh (PBE, optimized geometry); total magnetic moment = 2.64 μB per formula unit; calculated formation energy = 1.210 eV per atom; final energy = -22.71 eV/f.u.; excess energy over the best structure of this formula in the dataset = 0 meV/atom; ρ = 5.98 g/cm³
1.0
4.573 0.000 0.000
0.000 4.573 0.000
0.000 0.000 4.573
Rh Cu V
1 3 1
Direct
0.000 0.000 0.000
0.000 0.500 0.000
0.000 0.000 0.500
0.500 0.000 0.000
0.500 0.500 0.500

# 9
VCuRh (PBE, optimized geometry); total magnetic moment = 0.00 μB per formula unit; calculated formation energy = 0.153 eV per atom; final energy = -20.11 eV/f.u.; excess energy over the best structure of this formula in the dataset = 317 meV/atom; ρ = 8.43 g/cm³
1.0
-0.166 2.633 0.409
-4.909 -1.660 -0.016
-1.154 -1.063 6.381
V Cu Rh
2 2 2
Direct
0.860 0.720 0.507
0.140 0.280 0.493
0.773 0.546 0.158
0.227 0.454 0.842
0.967 0.933 0.801
0.033 0.067 0.199

# 10
V2CuRh3 (PBE, optimized geometry); total magnetic moment = 0.00 μB per formula unit; calculated formation energy = -0.259 eV per atom; final energy = -45.94 eV/f.u.; excess energy over the best structure of this formula in the dataset = 22 meV/atom; ρ = 9.62 g/cm³
1.0
-3.710 -2.176 1.252
3.040 -4.531 1.130
0.019 4.774 5.359
V Cu Rh
4 2 6
Direct
0.302 0.341 0.682
0.698 0.159 0.318
0.302 0.841 0.682
0.698 0.659 0.318
0.000 0.500 0.000
0.000 0.000 0.000
0.500 0.250 0.000
0.500 0.750 0.000
0.801 0.073 0.647
0.199 0.427 0.353
0.199 0.927 0.353
0.801 0.573 0.647

# 11
VCu2Rh2 (PBE, optimized geometry); total magnetic moment = 0.48 μB per formula unit; calculated formation energy = 0.145 eV per atom; final energy = -31.29 eV/f.u.; excess energy over the best structure of this formula in the dataset = 285 meV/atom; ρ = 9.36 g/cm³
1.0
6.823 0.000 0.000
0.000 6.823 0.000
0.000 0.000 2.925
Rh Cu V
4 4 2
Direct
0.171 0.671 0.500
0.671 0.829 0.500
0.829 0.329 0.500
0.329 0.171 0.500
0.372 0.872 0.000
0.872 0.628 0.000
0.628 0.128 0.000
0.128 0.372 0.000
0.000 0.000 0.000
0.500 0.500 0.000

# 12
Cu2RhW (PBE, optimized geometry); total magnetic moment = 0.40 μB per formula unit; calculated formation energy = 0.226 eV per atom; final energy = -27.59 eV/f.u.; excess energy over the best structure of this formula in the dataset = 159 meV/atom; ρ = 12.34 g/cm³
1.0
-2.353 5.735 -6.424
-4.825 5.022 -5.585
-3.482 6.997 -4.314
Cu Rh W
2 1 1
Direct
0.999 0.999 0.999
0.501 0.501 0.501
0.250 0.250 0.250
0.750 0.750 0.750

# 13
Cu2RhW (PBE, optimized geometry); total magnetic moment = 0.00 μB per formula unit; calculated formation energy = 0.231 eV per atom; final energy = -27.57 eV/f.u.; excess energy over the best structure of this formula in the dataset = 164 meV/atom; ρ = 12.63 g/cm³
1.0
-0.755 4.181 1.934
-2.848 -0.398 3.677
3.907 -2.248 -1.213
Cu Rh W
2 1 1
Direct
0.000 0.000 0.000
0.500 0.500 0.000
0.250 0.750 0.500
0.750 0.250 0.500

# 14
Cu3Rh4W (PBE, optimized geometry); total magnetic moment = 0.00 μB per formula unit; calculated formation energy = -0.045 eV per atom; final energy = -55.01 eV/f.u.; ρ = 11.92 g/cm³
1.0
4.429 0.000 0.000
0.000 5.697 0.000
0.000 0.000 8.682
Rh W Cu
8 2 6
Direct
0.500 0.750 0.000
0.500 0.750 0.500
0.500 0.250 0.000
0.500 0.250 0.500
0.090 0.755 0.750
0.910 0.755 0.250
0.910 0.245 0.250
0.090 0.245 0.750
0.000 0.500 0.000
0.000 0.500 0.500
0.000 0.000 0.000
0.000 0.000 0.500
0.597 0.000 0.750
0.403 0.000 0.250
0.593 0.500 0.750
0.407 0.500 0.250

# 15
Cu2RhW (PBE, optimized geometry); total magnetic moment = 0.00 μB per formula unit; calculated formation energy = 0.263 eV per atom; final energy = -27.44 eV/f.u.; excess energy over the best structure of this formula in the dataset = 197 meV/atom; ρ = 12.23 g/cm³
1.0
2.743 0.000 0.000
0.000 4.493 0.000
0.000 0.000 4.559
Cu Rh W
2 1 1
Direct
0.000 0.000 0.000
0.500 0.500 0.000
0.500 0.000 0.500
0.000 0.500 0.500

# 16
CuRh5W4 (PBE, optimized geometry); total magnetic moment = 0.00 μB per formula unit; calculated formation energy = -0.135 eV per atom; final energy = -94.02 eV/f.u.; ρ = 14.81 g/cm³
1.0
3.866 0.000 0.000
0.000 2.768 0.000
0.000 0.000 13.760
Cu Rh W
1 5 4
Direct
0.000 0.000 0.000
0.500 0.500 0.098
0.500 0.500 0.300
0.500 0.500 0.500
0.500 0.500 0.700
0.500 0.500 0.902
0.000 0.000 0.195
0.000 0.000 0.399
0.000 0.000 0.601
0.000 0.000 0.805

# 17
Cu2RhW (PBE, optimized geometry); total magnetic moment = 0.00 μB per formula unit; calculated formation energy = 0.742 eV per atom; final energy = -25.53 eV/f.u.; excess energy over the best structure of this formula in the dataset = 675 meV/atom; ρ = 11.62 g/cm³
1.0
-0.283 1.124 -6.758
-6.071 -3.176 -0.274
-4.341 1.164 -3.103
Rh Cu W
2 4 2
Direct
0.500 0.500 0.000
0.250 0.750 0.500
0.624 0.125 0.250
0.126 0.625 0.250
0.375 0.376 0.750
0.875 0.874 0.750
0.000 0.000 0.000
0.750 0.250 0.500

# 18
Cu2RhW (PBE, optimized geometry); total magnetic moment = 0.00 μB per formula unit; calculated formation energy = 0.314 eV per atom; final energy = -27.24 eV/f.u.; excess energy over the best structure of this formula in the dataset = 247 meV/atom; ρ = 12.52 g/cm³
1.0
-1.471 -1.058 -3.529
3.435 -0.764 -1.203
-0.359 -3.502 1.199
Cu Rh W
2 1 1
Direct
0.000 0.000 0.000
0.000 0.500 0.500
0.500 0.500 0.000
0.500 0.000 0.500

# 19
Cu2RhW (PBE, optimized geometry); total magnetic moment = 0.00 μB per formula unit; calculated formation energy = 0.164 eV per atom; final energy = -27.84 eV/f.u.; excess energy over the best structure of this formula in the dataset = 98 meV/atom; ρ = 12.76 g/cm³
1.0
4.973 0.007 0.015
2.196 4.462 -0.015
-3.065 -3.069 2.434
Cu Rh W
2 1 1
Direct
0.987 0.987 0.000
0.762 0.262 0.500
0.508 0.508 0.000
0.243 0.743 0.500

# 20
Cu2RhW (PBE, optimized geometry); total magnetic moment = 0.00 μB per formula unit; calculated formation energy = 0.125 eV per atom; final energy = -28.00 eV/f.u.; excess energy over the best structure of this formula in the dataset = 58 meV/atom; ρ = 12.71 g/cm³
1.0
4.638 0.008 0.000
1.554 4.369 0.000
-3.096 -2.189 2.671
Cu Rh W
2 1 1
Direct
0.000 0.000 0.000
0.250 0.750 0.500
0.500 0.500 0.000
0.750 0.250 0.500

# 21
Cu2RhW (PBE, optimized geometry); total magnetic moment = 0.00 μB per formula unit; calculated formation energy = 0.221 eV per atom; final energy = -27.61 eV/f.u.; excess energy over the best structure of this formula in the dataset = 155 meV/atom; ρ = 12.57 g/cm³
1.0
2.633 0.497 0.000
-0.498 2.633 0.000
0.000 0.000 7.614
Cu Rh W
2 1 1
Direct
0.000 0.000 0.008
0.000 0.000 0.492
0.500 0.500 0.250
0.500 0.500 0.750

# 22
Cu2RhW (PBE, optimized geometry); total magnetic moment = 0.00 μB per formula unit; calculated formation energy = 0.240 eV per atom; final energy = -27.54 eV/f.u.; excess energy over the best structure of this formula in the dataset = 173 meV/atom; ρ = 12.46 g/cm³
1.0
-0.371 -0.163 4.754
3.115 -3.028 -1.973
1.944 1.859 0.216
Cu Rh W
2 1 1
Direct
0.000 0.000 0.000
0.500 0.500 0.000
0.500 0.000 0.500
0.000 0.500 0.500

# 23
Cu2RhW (PBE, optimized geometry); total magnetic moment = 0.00 μB per formula unit; calculated formation energy = 0.091 eV per atom; final energy = -28.13 eV/f.u.; excess energy over the best structure of this formula in the dataset = 25 meV/atom; ρ = 12.27 g/cm³
1.0
8.702 -0.016 -0.009
8.273 2.699 -0.009
8.273 1.308 2.361
Cu Rh W
2 1 1
Direct
0.996 0.996 0.996
0.253 0.253 0.253
0.500 0.500 0.500
0.751 0.751 0.751

# 24
Cu3RhW (PBE, optimized geometry); total magnetic moment = 0.00 μB per formula unit; calculated formation energy = 1.819 eV per atom; final energy = -23.50 eV/f.u.; excess energy over the best structure of this formula in the dataset = 0 meV/atom; ρ = 8.97 g/cm³
1.0
4.454 0.000 0.000
0.000 4.454 0.000
0.000 0.000 4.454
Rh Cu W
1 3 1
Direct
0.000 0.000 0.000
0.000 0.500 0.000
0.000 0.000 0.500
0.500 0.000 0.000
0.500 0.500 0.500

# 25
Cu2RhW (PBE, optimized geometry); total magnetic moment = 0.00 μB per formula unit; calculated formation energy = 0.274 eV per atom; final energy = -27.40 eV/f.u.; excess energy over the best structure of this formula in the dataset = 207 meV/atom; ρ = 12.82 g/cm³
1.0
0.000 2.993 2.993
2.993 0.000 2.993
2.993 2.993 0.000
Rh Cu W
1 2 1
Direct
0.000 0.000 0.000
0.250 0.250 0.250
0.750 0.750 0.750
0.500 0.500 0.500

# 26
Cu2RhW (PBE, optimized geometry); total magnetic moment = 0.00 μB per formula unit; calculated formation energy = 0.148 eV per atom; final energy = -27.90 eV/f.u.; excess energy over the best structure of this formula in the dataset = 82 meV/atom; ρ = 12.45 g/cm³
1.0
-2.688 2.783 -2.656
-3.582 0.234 -3.023
-3.426 0.778 2.937
Cu Rh W
2 1 1
Direct
0.000 0.000 0.002
0.500 0.500 0.498
0.750 0.750 0.750
0.250 0.250 0.250